# 1
CoAsIrO | PBE+U | optimized geometry

Unit cell a=3.5783 b=5.9495 c=5.5173 alpha=90.00 beta=90.00 gamma=90.00
Last column: nearest neighbours and their distance in Å.
Fractional positions:
Co: 0.0000 0.1132 0.0000  2 O 2.01
Co: 0.0000 0.8868 0.5000  2 O 2.01
As: 0.0000 0.2845 0.4293  2 Co 2.40-2.58, 2 Ir 2.47
As: 0.0000 0.7155 0.9293  2 Co 2.40-2.58, 2 Ir 2.47
Ir: 0.5000 0.4894 0.6433  2 O 2.08-2.09
Ir: 0.5000 0.5106 0.1433  2 O 2.08-2.09
O: 0.5000 0.2382 0.9050  2 Co 2.01, 2 Ir 2.08-2.09
O: 0.5000 0.7618 0.4050  2 Co 2.01, 2 Ir 2.08-2.09

VASP energy	-6.098	eV/atom
size of the total moment	0.647	μB per atom

# 2
CoAsIrO | PBE+U | optimized geometry

Unit cell a=3.9946 b=5.3378 c=5.5671 alpha=90.00 beta=90.00 gamma=90.00
Last column: nearest neighbours and their distance in Å.
Fractional positions:
Co: 0.0000 0.1416 0.0000  2 O 1.96-1.97
Co: 0.0000 0.8584 0.5000  2 O 1.96-1.97
As: 0.5000 0.3243 0.1642  2 Co 2.40, 2 Ir 2.40-2.45
As: 0.5000 0.6757 0.6642  2 Co 2.40, 2 Ir 2.40-2.45
Ir: 0.5000 0.2250 0.5854  2 O 2.04
Ir: 0.5000 0.7750 0.0854  2 O 2.04
O: 0.0000 0.1899 0.6499  2 Co 1.96-1.97, 2 Ir 2.04
O: 0.0000 0.8101 0.1499  2 Co 1.96-1.97, 2 Ir 2.04

VASP energy	-6.006	eV/atom
size of the total moment	0.475	μB per atom

# 3
CoAsIrO | PBE+U | optimized geometry

Unit cell a=3.7071 b=3.7071 c=6.8726 alpha=90.00 beta=90.00 gamma=90.00
Last column: nearest neighbours and their distance in Å.
Fractional positions:
Co: 0.2500 0.7500 0.0000  4 As 2.31
Co: 0.7500 0.2500 0.0000  4 As 2.31
As: 0.2500 0.2500 0.2011  4 Co 2.31
As: 0.7500 0.7500 0.7989  4 Co 2.31
Ir: 0.2500 0.2500 0.6916  4 O 2.27
Ir: 0.7500 0.7500 0.3084  4 O 2.27
O: 0.2500 0.7500 0.5000  4 Ir 2.27
O: 0.7500 0.2500 0.5000  4 Ir 2.27

VASP energy	-6.283	eV/atom
size of the total moment	0.280	μB per atom

> The lowest size of the total moment belongs to which entry?

number 3